[1]
VASP calculation (PBE) on SnHg after structural relaxation.

Structure (CIF):
```
data_SnHg
_chemical_formula_sum 'Sn4 Hg4'
_cell_length_a 6.0560
_cell_length_b 6.0560
_cell_length_c 6.0560
_cell_angle_alpha 90.00
_cell_angle_beta 90.00
_cell_angle_gamma 90.00
_symmetry_space_group_name_H-M 'F m -3 m'
_symmetry_Int_Tables_number 225
_symmetry_space_group_name_Hall '-F 4 2 3'
loop_
_atom_site_label
_atom_site_type_symbol
_atom_site_fract_x
_atom_site_fract_y
_atom_site_fract_z
_atom_site_occupancy
Sn1 Sn 0.0000 0.0000 0.0000 1
Hg1 Hg 0.0000 0.0000 0.5000 1
```

Computed properties:
**Energy of formation**: 102 meV/atom
**N(E_F)**: 4.14 states/eV/cell
**Calculated total energy**: -2.05 eV/atom

***

[2]
VASP calculation (PBE) on Pm10Pr4Tm after structural relaxation.

Structure (CIF):
```
data_Pm10Pr4Tm
_chemical_formula_sum 'Pm20 Pr8 Tm2'
_cell_length_a 9.9856
_cell_length_b 9.9856
_cell_length_c 10.6216
_cell_angle_alpha 90.00
_cell_angle_beta 90.00
_cell_angle_gamma 90.00
_symmetry_space_group_name_H-M 'I 4/m'
_symmetry_Int_Tables_number 87
_symmetry_space_group_name_Hall '-I 4'
loop_
_atom_site_label
_atom_site_type_symbol
_atom_site_fract_x
_atom_site_fract_y
_atom_site_fract_z
_atom_site_occupancy
Pm1 Pm 0.0000 0.5000 0.2500 1
Pm2 Pm 0.1148 0.2068 0.1619 1
Pr1 Pr 0.0593 0.3274 0.5000 1
Tm1 Tm 0.0000 0.0000 0.5000 1
```

Computed properties:
**Energy of formation**: 317 meV/atom
**N(E_F)**: 41.19 states/eV/cell
**Calculated total energy**: -4.42 eV/atom

***

[3]
VASP calculation (PBE) on CrAs2 after structural relaxation.

Structure (CIF):
```
data_CrAs2
_chemical_formula_sum 'Cr1 As2'
_cell_length_a 3.1342
_cell_length_b 3.1342
_cell_length_c 5.6929
_cell_angle_alpha 90.00
_cell_angle_beta 90.00
_cell_angle_gamma 120.00
_symmetry_space_group_name_H-M 'P -3 m 1'
_symmetry_Int_Tables_number 164
_symmetry_space_group_name_Hall '-P 3 2"'
loop_
_atom_site_label
_atom_site_type_symbol
_atom_site_fract_x
_atom_site_fract_y
_atom_site_fract_z
_atom_site_occupancy
Cr1 Cr 0.0000 0.0000 0.0000 1
As1 As 0.3333 0.6667 0.2882 1
```

Computed properties:
**Energy of formation**: -7 meV/atom
**N(E_F)**: 1.71 states/eV/cell
**Calculated total energy**: -6.31 eV/atom

***

[4]
VASP calculation (PBE) on Y8MgTc2 after structural relaxation.

Structure (CIF):
```
data_Y8MgTc2
_chemical_formula_sum 'Y16 Mg2 Tc4'
_cell_length_a 13.6068
_cell_length_b 8.5549
_cell_length_c 5.8123
_cell_angle_alpha 90.00
_cell_angle_beta 95.10
_cell_angle_gamma 90.00
_symmetry_space_group_name_H-M 'C 1 2/m 1'
_symmetry_Int_Tables_number 12
loop_
_symmetry_equiv_pos_as_xyz
'x,y,z'
'-x,-y,-z'
'-x,y,-z'
'x,-y,z'
'x+1/2,y+1/2,z'
'-x+1/2,-y+1/2,-z'
'-x+1/2,y+1/2,-z'
'x+1/2,-y+1/2,z'
loop_
_atom_site_label
_atom_site_type_symbol
_atom_site_fract_x
_atom_site_fract_y
_atom_site_fract_z
_atom_site_occupancy
Y1 Y 0.0228 0.0000 0.2570 1
Y2 Y 0.1330 0.3083 0.9505 1
Y3 Y 0.2495 0.0000 0.5286 1
Mg1 Mg 0.0000 0.5000 0.5000 1
Tc1 Tc 0.1886 0.0000 0.9947 1
```

Computed properties:
**Energy of formation**: 146 meV/atom
**N(E_F)**: 21.17 states/eV/cell
**Calculated total energy**: -6.59 eV/atom

***

[5]
VASP calculation (PBE) on CaEr4Cu5 after structural relaxation.

Structure (CIF):
```
data_CaEr4Cu5
_chemical_formula_sum 'Ca1 Er4 Cu5'
_cell_length_a 3.4380
_cell_length_b 3.4380
_cell_length_c 17.5119
_cell_angle_alpha 90.00
_cell_angle_beta 90.00
_cell_angle_gamma 90.00
_symmetry_space_group_name_H-M 'P 4/m m m'
_symmetry_Int_Tables_number 123
_symmetry_space_group_name_Hall '-P 4 2'
loop_
_atom_site_label
_atom_site_type_symbol
_atom_site_fract_x
_atom_site_fract_y
_atom_site_fract_z
_atom_site_occupancy
Ca1 Ca 0.0000 0.0000 0.0000 1
Er1 Er 0.0000 0.0000 0.2031 1
Er2 Er 0.0000 0.0000 0.4015 1
Cu1 Cu 0.5000 0.5000 0.1135 1
Cu2 Cu 0.5000 0.5000 0.3017 1
Cu3 Cu 0.5000 0.5000 0.5000 1
```

Computed properties:
**Energy of formation**: -240 meV/atom
**N(E_F)**: 4.51 states/eV/cell
**Calculated total energy**: -4.31 eV/atom

***

[6]
VASP calculation (PBE) on LaRe4C2 after structural relaxation.

Structure (CIF):
```
data_LaRe4C2
_chemical_formula_sum 'La2 Re8 C4'
_cell_length_a 3.9630
_cell_length_b 14.2644
_cell_length_c 3.9481
_cell_angle_alpha 90.00
_cell_angle_beta 90.00
_cell_angle_gamma 90.00
_symmetry_space_group_name_H-M 'C m m m'
_symmetry_Int_Tables_number 65
_symmetry_space_group_name_Hall '-C 2 2'
loop_
_atom_site_label
_atom_site_type_symbol
_atom_site_fract_x
_atom_site_fract_y
_atom_site_fract_z
_atom_site_occupancy
La1 La 0.0000 0.0000 0.0000 1
Re1 Re 0.0000 0.1788 0.5000 1
Re2 Re 0.0000 0.3123 0.0000 1
C1 C 0.0000 0.3674 0.5000 1
```

Computed properties:
**Energy of formation**: 136 meV/atom
**N(E_F)**: 5.83 states/eV/cell
**Calculated total energy**: -10.32 eV/atom

***

What is the formula in the second record? Pm10Pr4Tm

***

Copy entry 1 word for word.
VASP calculation (PBE) on SnHg after structural relaxation.

Structure (CIF):
```
data_SnHg
_chemical_formula_sum 'Sn4 Hg4'
_cell_length_a 6.0560
_cell_length_b 6.0560
_cell_length_c 6.0560
_cell_angle_alpha 90.00
_cell_angle_beta 90.00
_cell_angle_gamma 90.00
_symmetry_space_group_name_H-M 'F m -3 m'
_symmetry_Int_Tables_number 225
_symmetry_space_group_name_Hall '-F 4 2 3'
loop_
_atom_site_label
_atom_site_type_symbol
_atom_site_fract_x
_atom_site_fract_y
_atom_site_fract_z
_atom_site_occupancy
Sn1 Sn 0.0000 0.0000 0.0000 1
Hg1 Hg 0.0000 0.0000 0.5000 1
```

Computed properties:
**Energy of formation**: 102 meV/atom
**N(E_F)**: 4.14 states/eV/cell
**Calculated total energy**: -2.05 eV/atom

***

What is the N(E_F) in the second record? 41.19 states/eV/cell

***

The lowest calculated total energy belongs to which entry? LaRe4C2